# 1
TaTeAsO: optimized geometry, PBE.

```
TaTeAsO
1.0
3.959 0.000 0.000
0.000 3.959 0.000
0.000 0.000 10.325
Ta Te As O
2 2 2 2
Direct
0.250 0.250 0.081
0.750 0.750 0.919
0.250 0.750 0.500
0.750 0.250 0.500
0.250 0.250 0.803
0.750 0.750 0.197
0.250 0.750 0.000
0.750 0.250 0.000
```

E above lowest polymorph   565 meV/atom



# 2
TaTeAsO: optimized geometry, PBE.

```
TaTeAsO
1.0
3.923 0.000 0.000
0.000 3.923 0.000
0.000 0.000 9.116
Ta Te As O
2 2 2 2
Direct
0.250 0.750 0.000
0.750 0.250 0.000
0.250 0.250 0.361
0.750 0.750 0.639
0.250 0.250 0.792
0.750 0.750 0.208
0.250 0.750 0.500
0.750 0.250 0.500
```

E above lowest polymorph   979 meV/atom



# 3
TaTeAsO: optimized geometry, PBE.

```
TaTeAsO
1.0
3.640 0.000 0.000
0.000 7.486 0.000
0.000 0.000 7.295
Ta Te As O
2 2 2 2
Direct
0.000 0.036 0.000
0.000 0.964 0.500
0.500 0.261 0.571
0.500 0.739 0.071
0.500 0.282 0.928
0.500 0.718 0.428
0.000 0.083 0.255
0.000 0.917 0.755
```

E above lowest polymorph   0 meV/atom



# 4
TmTaAsO: optimized geometry, PBE.

```
TmTaAsO
1.0
4.085 0.000 0.000
0.000 4.085 0.000
0.000 0.000 7.795
Tm Ta As O
2 2 2 2
Direct
0.250 0.750 0.000
0.750 0.250 0.000
0.250 0.250 0.388
0.750 0.750 0.612
0.250 0.250 0.747
0.750 0.750 0.253
0.250 0.750 0.500
0.750 0.250 0.500
```

E above lowest polymorph   1063 meV/atom



# 5
TmTaAsO: optimized geometry, PBE.

```
TmTaAsO
1.0
3.731 0.000 0.000
0.000 7.338 0.000
0.000 0.000 5.656
Tm Ta As O
2 2 2 2
Direct
0.000 0.230 0.000
0.000 0.770 0.500
0.500 0.407 0.503
0.500 0.593 0.003
0.000 0.159 0.486
0.000 0.841 0.986
0.500 0.330 0.863
0.500 0.670 0.363
```

E above lowest polymorph   482 meV/atom



# 6
TmTaAsO: optimized geometry, PBE.

```
TmTaAsO
1.0
4.129 0.000 0.000
0.000 4.976 0.000
0.000 0.000 6.549
Tm Ta As O
2 2 2 2
Direct
0.000 0.194 0.000
0.000 0.806 0.500
0.500 0.380 0.338
0.500 0.620 0.838
0.500 0.128 0.690
0.500 0.872 0.190
0.000 0.390 0.330
0.000 0.610 0.830
```

E above lowest polymorph   228 meV/atom



# 7
TmTaAsO: optimized geometry, PBE.

```
TmTaAsO
1.0
3.924 0.000 0.000
0.000 3.924 0.000
0.000 0.000 8.902
Tm Ta As O
2 2 2 2
Direct
0.250 0.250 0.119
0.750 0.750 0.881
0.250 0.750 0.500
0.750 0.250 0.500
0.250 0.250 0.704
0.750 0.750 0.296
0.250 0.750 0.000
0.750 0.250 0.000
```

E above lowest polymorph   0 meV/atom



# 8
TaZnAsO: optimized geometry, PBE.

```
TaZnAsO
1.0
3.383 0.000 0.000
0.000 6.127 0.000
0.000 0.000 6.689
Ta Zn As O
2 2 2 2
Direct
0.000 0.064 0.000
0.000 0.936 0.500
0.500 0.318 0.451
0.500 0.682 0.951
0.500 0.310 0.821
0.500 0.690 0.321
0.000 0.166 0.278
0.000 0.834 0.778
```



Respective DFT total energy values: -6.523, -6.108, -7.088, -7.270, -7.851, -8.106, -8.333, -6.376 eV/atom.